[1]
Material: Pd9Pt3Au
Method: DFT, PBE
State: optimized geometry

Summary:
SG: Cm (8)
Spin magnetization (μB/f.u.): 0.00
Volume (A^3/atom): 16.35
DOS(E_F) (states/eV/f.u.): 25.42
E (eV per cell): -134.7

Lattice parameters (Å, degrees): 2.779 11.446 13.944 103.13 84.28 83.03
Element x y z (fractional)
Pd  0.464  0.185  0.389
Pd  0.963  0.685  0.889
Pd  0.656  0.271  0.917
Pd  0.156  0.771  0.417
Pd  0.898  0.029  0.675
Pd  0.398  0.529  0.175
Pd  0.361  0.714  0.063
Pd  0.862  0.214  0.563
Pd  0.116  0.958  0.310
Pd  0.616  0.458  0.810
Pd  0.545  0.811  0.597
Pd  0.046  0.311  0.097
Pd  0.796  0.554  0.353
Pd  0.297  0.054  0.853
Pd  0.224  0.423  0.628
Pd  0.724  0.923  0.128
Pd  0.693  0.090  0.026
Pd  0.191  0.590  0.526
Pt  0.578  0.636  0.707
Pt  0.079  0.136  0.207
Pt  0.935  0.848  0.781
Pt  0.435  0.348  0.281
Pt  0.259  0.243  0.740
Pt  0.758  0.743  0.240
Au  0.007  0.494  0.991
Au  0.507  0.994  0.491

[2]
Material: PdPtAu14
Method: DFT, PBE
State: optimized geometry

Summary:
SG: Amm2 (38)
Spin magnetization (μB/f.u.): 0.00
Volume (A^3/atom): 17.72
DOS(E_F) (states/eV/f.u.): 4.45
E (eV per cell): -57.1

Lattice parameters (Å, degrees): 5.728 5.728 9.679 90.00 90.00 116.79
Element x y z (fractional)
Pd  0.055  0.945  0.500
Pt  0.554  0.446  0.500
Au  0.195  0.805  0.000
Au  0.696  0.304  0.000
Au  0.054  0.444  0.500
Au  0.196  0.305  0.000
Au  0.556  0.946  0.500
Au  0.695  0.804  0.000
Au  0.375  0.126  0.745
Au  0.375  0.126  0.255
Au  0.874  0.625  0.745
Au  0.874  0.625  0.255
Au  0.375  0.625  0.747
Au  0.375  0.625  0.253
Au  0.876  0.124  0.748
Au  0.876  0.124  0.252

[3]
Material: PdPt14Au
Method: DFT, PBE
State: optimized geometry

Summary:
SG: Amm2 (38)
Spin magnetization (μB/f.u.): 0.00
Volume (A^3/atom): 15.81
DOS(E_F) (states/eV/f.u.): 32.16
E (eV per cell): -92.6

Lattice parameters (Å, degrees): 5.592 5.592 9.353 90.00 90.00 120.12
Element x y z (fractional)
Pd  0.041  0.959  0.500
Pt  0.209  0.791  0.000
Pt  0.709  0.291  0.000
Pt  0.040  0.459  0.500
Pt  0.209  0.291  0.000
Pt  0.541  0.960  0.500
Pt  0.709  0.791  0.000
Pt  0.375  0.123  0.751
Pt  0.375  0.123  0.249
Pt  0.877  0.625  0.751
Pt  0.877  0.625  0.249
Pt  0.374  0.626  0.750
Pt  0.374  0.626  0.250
Pt  0.875  0.125  0.749
Pt  0.875  0.125  0.251
Au  0.541  0.459  0.500

[4]
Material: Pd3Pt4Au12
Method: DFT, PBE
State: optimized geometry

Summary:
SG: Im-3 (204)
Spin magnetization (μB/f.u.): 0.00
Volume (A^3/atom): 24.47
DOS(E_F) (states/eV/f.u.): 17.79
E (eV per cell): -71.1

Lattice parameters (Å, degrees): 8.453 8.453 8.453 109.47 109.47 109.47
Element x y z (fractional)
Pd  0.500  0.000  0.500
Pd  0.500  0.500  0.000
Pd  0.000  0.500  0.500
Pt  0.000  0.000  0.500
Pt  0.500  0.500  0.500
Pt  0.500  0.000  0.000
Pt  0.000  0.500  0.000
Au  0.645  0.396  0.751
Au  0.355  0.604  0.249
Au  0.355  0.106  0.751
Au  0.396  0.751  0.645
Au  0.751  0.355  0.106
Au  0.249  0.355  0.604
Au  0.106  0.751  0.355
Au  0.249  0.645  0.894
Au  0.645  0.894  0.249
Au  0.604  0.249  0.355
Au  0.751  0.645  0.396
Au  0.894  0.249  0.645

[5]
Material: Pd3PtAu3
Method: DFT, PBE
State: optimized geometry

Summary:
SG: C2/m (12)
Spin magnetization (μB/f.u.): 0.00
Polymorph energy (0 for the lowest one) (meV/atom): 0
Volume (A^3/atom): 17.56
DOS(E_F) (states/eV/f.u.): 10.24
E (eV per cell): -61.2

Lattice parameters (Å, degrees): 8.472 7.018 5.423 130.32 90.06 89.91
Element x y z (fractional)
Pd  0.748  0.044  0.000
Pd  0.252  0.056  0.591
Pd  0.252  0.465  0.409
Pd  0.748  0.944  0.409
Pd  0.748  0.535  0.591
Pd  0.252  0.956  0.000
Pt  0.988  0.306  0.000
Pt  0.012  0.694  0.000
Au  0.665  0.431  0.000
Au  0.500  0.794  0.588
Au  0.500  0.206  0.412
Au  0.000  0.787  0.574
Au  0.000  0.213  0.426
Au  0.335  0.569  0.000

[6]
Material: Pd4PtAu2
Method: DFT, PBE
State: optimized geometry

Summary:
SG: Cc (9)
Spin magnetization (μB/f.u.): 0.00
Polymorph energy (0 for the lowest one) (meV/atom): 0
Volume (A^3/atom): 16.69
DOS(E_F) (states/eV/f.u.): 11.75
E (eV per cell): -65.6

Lattice parameters (Å, degrees): 6.194 6.197 7.358 107.72 106.70 107.28
Element x y z (fractional)
Pd  0.810  0.617  0.569
Pd  0.251  0.022  0.717
Pd  0.944  0.216  0.216
Pd  0.374  0.183  0.431
Pd  0.794  0.061  0.784
Pd  0.202  0.509  0.069
Pd  0.973  0.740  0.284
Pd  0.498  0.806  0.930
Pt  0.358  0.649  0.499
Pt  0.100  0.891  0.999
Au  0.646  0.925  0.354
Au  0.679  0.458  0.855
Au  0.084  0.361  0.646
Au  0.535  0.313  0.147

[7]
Material: PdPt3Au
Method: DFT, PBE
State: optimized geometry

Summary:
SG: Pm-3m (221)
Spin magnetization (μB/f.u.): 0.42
Polymorph energy (0 for the lowest one) (meV/atom): 1393
Volume (A^3/atom): 22.34
DOS(E_F) (states/eV/f.u.): 9.79
E (eV per cell): -19.4

Lattice parameters (Å, degrees): 4.816 4.816 4.816 90.00 90.00 90.00
Last column: magnetic moment on the atom in μB.
Element x y z (fractional)
Au  0.500  0.500  0.500  0.01
Pd  0.000  0.000  0.000  0.17
Pt  0.000  0.500  0.000  0.06
Pt  0.000  0.000  0.500  0.14
Pt  0.500  0.000  0.000  0.03

[8]
Material: PdPtAu2
Method: DFT, PBE
State: optimized geometry

Summary:
SG: I-42d (122)
Spin magnetization (μB/f.u.): 0.00
Polymorph energy (0 for the lowest one) (meV/atom): 315
Volume (A^3/atom): 18.42
DOS(E_F) (states/eV/f.u.): 3.27
E (eV per cell): -33.0

Lattice parameters (Å, degrees): 7.346 7.346 5.869 51.25 51.25 90.00
Element x y z (fractional)
Au  0.626  0.125  0.250
Au  0.124  0.625  0.250
Au  0.375  0.374  0.750
Au  0.875  0.876  0.750
Pd  0.500  0.500  0.000
Pd  0.250  0.750  0.500
Pt  0.000  0.000  0.000
Pt  0.750  0.250  0.500

[9]
Material: Pd5PtAu2
Method: DFT, PBE
State: optimized geometry

Summary:
SG: Immm (71)
Spin magnetization (μB/f.u.): 0.00
Polymorph energy (0 for the lowest one) (meV/atom): 103
Volume (A^3/atom): 16.66
DOS(E_F) (states/eV/f.u.): 13.09
E (eV per cell): -37.9

Lattice parameters (Å, degrees): 2.773 7.905 7.383 122.37 100.82 90.00
Element x y z (fractional)
Pd  0.000  0.500  0.000
Pd  0.616  0.359  0.231
Pd  0.384  0.641  0.769
Pd  0.616  0.872  0.231
Pd  0.384  0.128  0.769
Pt  0.000  0.000  0.000
Au  0.230  0.730  0.459
Au  0.770  0.270  0.541

[10]
Material: Pd6PtAu2
Method: DFT, PBE
State: optimized geometry

Summary:
SG: C2/m (12)
Spin magnetization (μB/f.u.): 0.01
Polymorph energy (0 for the lowest one) (meV/atom): 0
Volume (A^3/atom): 15.95
DOS(E_F) (states/eV/f.u.): 18.54
E (eV per cell): -44.1

Lattice parameters (Å, degrees): 3.994 4.893 8.475 73.28 90.00 114.09
Element x y z (fractional)
Pd  0.002  0.005  0.828
Pd  0.662  0.324  0.284
Pd  0.338  0.676  0.716
Pd  0.669  0.338  0.608
Pd  0.331  0.662  0.392
Pd  0.998  0.995  0.172
Pt  0.000  0.000  0.500
Au  0.667  0.335  0.942
Au  0.333  0.665  0.058

- What is the volume in the third record?
  15.81 A^3/atom

- Among the records above, which one has the lowest volume?
  PdPt14Au

- Which of these has the highest DOS(E_F)?
  PdPt14Au